A relaxed Np2GaGe3Ir4 crystal, computed with PBE.

abc: 4.1719 4.1719 10.4265
angles: 90.00 90.00 90.00
Last column: nearest neighbours and their distance in Å.
Atoms (fractional coordinates):
Ga 0.5000 0.5000 0.5000  4 Ir 2.53
Ir 0.5000 0.5000 0.0000  4 Ge 2.49
Ir 0.5000 0.0000 0.6371  3 Ge 2.42-2.53, 2 Ga 2.53
Ir 0.0000 0.0000 0.0000  4 Ge 2.49
Ir 0.0000 0.5000 0.3629  3 Ge 2.42-2.53, 2 Ga 2.53
Ge 0.0000 0.5000 0.1306  5 Ir 2.42-2.49
Ge 0.5000 0.0000 0.8694  5 Ir 2.42-2.49
Ge 0.0000 0.0000 0.5000  4 Ir 2.53
Np 0.0000 0.5000 0.7456  8 Ir 3.16-3.37, 6 Ge 3.22-3.30, 2 Ga 3.30
Np 0.5000 0.0000 0.2544  8 Ir 3.16-3.37, 6 Ge 3.22-3.30, 2 Ga 3.30

Results
- Formation energy: -0.434 eV/atom
- DOS at the Fermi energy: 26.3 states/eV/cell

=====

A relaxed Na2Sn3GeAu4 crystal, computed with PBE.

abc: 4.5586 4.5586 11.7318
angles: 90.00 90.00 90.00
Last column: nearest neighbours and their distance in Å.
Atoms (fractional coordinates):
Na 0.0000 0.5000 0.7517  6 Sn 3.48-3.73, 8 Au 3.50-3.70, 2 Ge 3.73
Na 0.5000 0.0000 0.2483  6 Sn 3.48-3.73, 8 Au 3.50-3.70, 2 Ge 3.73
Ge 0.5000 0.5000 0.5000  4 Au 2.77
Sn 0.0000 0.5000 0.1360  5 Au 2.69-2.78
Sn 0.5000 0.0000 0.8640  5 Au 2.69-2.78
Sn 0.0000 0.0000 0.5000  4 Au 2.77
Au 0.0000 0.5000 0.3651  3 Sn 2.69-2.77, 2 Ge 2.77
Au 0.5000 0.0000 0.6349  3 Sn 2.69-2.77, 2 Ge 2.77
Au 0.5000 0.5000 0.0000  4 Sn 2.78
Au 0.0000 0.0000 0.0000  4 Sn 2.78

Results
- Formation energy: -0.210 eV/atom
- DOS at the Fermi energy: 2.5 states/eV/cell

=====

A relaxed CaUSbO6 crystal, computed with PBE.

abc: 5.5209 5.5209 9.3880
angles: 90.00 90.00 120.00
Last column: nearest neighbours and their distance in Å.
Atoms (fractional coordinates):
O 0.0464 0.6961 0.8717  1 Sb 2.02, 1 U 2.18
O 0.6497 0.9536 0.8717  1 Sb 2.02, 1 U 2.18
O 0.6961 0.6497 0.1283  1 Sb 2.02, 1 U 2.18
O 0.9536 0.6497 0.3717  1 Sb 2.02, 1 U 2.18
O 0.3039 0.9536 0.6283  1 Sb 2.02, 1 U 2.18
O 0.6497 0.6961 0.6283  1 Sb 2.02, 1 U 2.18
O 0.0464 0.3503 0.6283  1 Sb 2.02, 1 U 2.18
O 0.3503 0.3039 0.3717  1 Sb 2.02, 1 U 2.18
O 0.6961 0.0464 0.3717  1 Sb 2.02, 1 U 2.18
O 0.3503 0.0464 0.1283  1 Sb 2.02, 1 U 2.18
O 0.3039 0.3503 0.8717  1 Sb 2.02, 1 U 2.18
O 0.9536 0.3039 0.1283  1 Sb 2.02, 1 U 2.18
Ca 0.3333 0.6667 0.2500  6 O 2.35
Ca 0.6667 0.3333 0.7500  6 O 2.35
Sb 0.6667 0.3333 0.2500  6 O 2.02
Sb 0.3333 0.6667 0.7500  6 O 2.02
U 0.0000 0.0000 0.0000  6 O 2.18
U 0.0000 0.0000 0.5000  6 O 2.18

Results
- Formation energy from raw total energies: -2.48 eV per atom
- DOS at the Fermi energy: 7.6 states/eV/cell